No. 1
Entry from Alexandria: PrTlPd4 after structural relaxation (PBE-GGA).

a b c (Å): 5.474 5.474 5.474
angles (deg): 60.00 60.00 60.00
Element x y z (fractional)
Pr1 0.250 0.250 0.250
Tl1 0.000 0.000 0.000
Pd1 0.625 0.625 0.124
Pd2 0.625 0.124 0.625
Pd3 0.625 0.625 0.625
Pd4 0.124 0.625 0.625

## Properties
- Energy of formation from the pure elements: -583 meV per atom
- VASP energy: -5.2357 eV/atom

=====

No. 2
Entry from Alexandria: La2Al4IrPd3 after structural relaxation (PBE-GGA).

a b c (Å): 4.383 4.383 10.239
angles (deg): 90.00 90.00 90.00
Element x y z (fractional)
La1 0.500 0.000 0.255
La2 0.000 0.500 0.745
Al1 0.500 0.500 0.000
Al2 0.000 0.000 0.000
Al3 0.500 0.000 0.622
Al4 0.000 0.500 0.378
Ir1 0.500 0.500 0.500
Pd1 0.000 0.000 0.500
Pd2 0.500 0.000 0.870
Pd3 0.000 0.500 0.130

## Properties
- Energy of formation from the pure elements: -867 meV per atom
- VASP energy: -5.7932 eV/atom

=====

No. 3
Entry from Alexandria: ScHg2Rh after structural relaxation (PBE-GGA).

a b c (Å): 5.286 5.286 4.544
angles (deg): 64.60 64.60 42.88
Element x y z (fractional)
Hg1 0.995 0.995 0.005
Hg2 0.759 0.759 0.741
Rh1 0.518 0.518 0.482
Sc1 0.228 0.228 0.272

## Properties
- Energy of formation from the pure elements: -303 meV per atom
- VASP energy: -3.8751 eV/atom

=====

No. 4
Entry from Alexandria: Li6Cd2Pb3 after structural relaxation (PBE-GGA).

a b c (Å): 4.667 4.667 12.611
angles (deg): 100.66 100.66 90.00
Element x y z (fractional)
Li1 0.062 0.562 0.125
Li2 0.562 0.062 0.125
Li3 0.938 0.438 0.875
Li4 0.438 0.938 0.875
Li5 0.737 0.737 0.473
Li6 0.263 0.263 0.527
Cd1 0.374 0.374 0.749
Cd2 0.626 0.626 0.251
Pb1 0.000 0.000 0.000
Pb2 0.853 0.853 0.706
Pb3 0.147 0.147 0.294

## Properties
- Energy of formation from the pure elements: -67 meV per atom
- VASP energy: -2.2887 eV/atom

=====

No. 5
Entry from Alexandria: GaTcO3 after structural relaxation (PBE-GGA).

a b c (Å): 3.890 3.890 3.890
angles (deg): 90.00 90.00 90.00
Element x y z (fractional)
O1 0.000 0.500 0.000
O2 0.000 0.000 0.500
O3 0.500 0.000 0.000
Tc1 0.000 0.000 0.000
Ga1 0.500 0.500 0.500

## Properties
- VASP energy: -6.7235 eV/atom
- Energy relative to the elements, uncorrected: -1070 meV per atom

=====

No. 6
Entry from Alexandria: SrLaPrSm after structural relaxation (PBE-GGA).

a b c (Å): 6.050 6.050 6.050
angles (deg): 60.00 60.00 60.00
Element x y z (fractional)
Pr1 0.500 0.500 0.500
Sr1 0.250 0.250 0.250
Sm1 0.750 0.750 0.750
La1 0.000 0.000 0.000

## Properties
- Energy of formation from the pure elements: 200 meV per atom
- VASP energy: -3.8268 eV/atom

=====

Theoretical density across the listed records, respectively: 11.04; 7.57; 11.89; 5.56; 6.09; 5.49 g/cm³.
DOS at the Fermi energy across the listed records, respectively: 0.63; 0.86; 0.47; 0.47; 0.41; 2.18 states/eV/atom.
Magnetic moment across the listed records, respectively: 0.0; 0.0; 0.0; 0.0; 0.0; 0.0 μB/cell.